Record 1
# CaPmSmY, relaxed, DFT PBE
# - D(E_F) (states/eV per cell) = 32.14
# - calculated formation energy (eV per formula unit) = 0.62
# - M_tot (μB per formula unit) = 0.44
data_CaPmSmY
_chemical_formula_sum 'Ca4 Pm4 Sm4 Y4'
_cell_length_a 8.2400
_cell_length_b 8.2400
_cell_length_c 8.2400
_cell_angle_alpha 90.00
_cell_angle_beta 90.00
_cell_angle_gamma 90.00
_symmetry_space_group_name_H-M 'F -4 3 m'
_symmetry_Int_Tables_number 216
_symmetry_space_group_name_Hall 'F -4 2 3'
loop_
_atom_site_label
_atom_site_type_symbol
_atom_site_fract_x
_atom_site_fract_y
_atom_site_fract_z
_atom_site_occupancy
Ca1 Ca 0.0000 0.0000 0.0000 1
Pm1 Pm 0.0000 0.0000 0.5000 1
Sm1 Sm 0.2500 0.2500 0.7500 1
Y1 Y 0.2500 0.2500 0.2500 1

Record 2
# Sr2LaSi, relaxed, DFT PBE
# - D(E_F) (states/eV per cell) = 41.78
# - formation energy without anion corrections (eV/atom) = 0.06
# - M_tot (μB per formula unit) = 0.00
data_Sr2LaSi
_chemical_formula_sum 'Sr8 La4 Si4'
_cell_length_a 10.5551
_cell_length_b 10.5551
_cell_length_c 6.1104
_cell_angle_alpha 90.00
_cell_angle_beta 90.00
_cell_angle_gamma 90.00
_symmetry_space_group_name_H-M 'I -4 2 d'
_symmetry_Int_Tables_number 122
_symmetry_space_group_name_Hall 'I -4 2bw'
loop_
_atom_site_label
_atom_site_type_symbol
_atom_site_fract_x
_atom_site_fract_y
_atom_site_fract_z
_atom_site_occupancy
Sr1 Sr 0.1360 0.2500 0.1250 1
La1 La 0.0000 0.0000 0.5000 1
Si1 Si 0.0000 0.0000 0.0000 1

Record 3
# La2Pr3Er2, relaxed, DFT PBE
# - D(E_F) (states/eV per cell) = 10.57
# - calculated formation energy (eV per formula unit) = 0.14
# - M_tot (μB per formula unit) = 0.00
data_La2Pr3Er2
_chemical_formula_sum 'La2 Pr3 Er2'
_cell_length_a 6.3266
_cell_length_b 6.3472
_cell_length_c 6.3779
_cell_angle_alpha 99.73
_cell_angle_beta 99.75
_cell_angle_gamma 99.62
_symmetry_space_group_name_H-M 'P -1'
_symmetry_Int_Tables_number 2
loop_
_symmetry_equiv_pos_as_xyz
'x,y,z'
'-x,-y,-z'
loop_
_atom_site_label
_atom_site_type_symbol
_atom_site_fract_x
_atom_site_fract_y
_atom_site_fract_z
_atom_site_occupancy
La1 La 0.1451 0.2852 0.0694 1
Pr1 Pr 0.0000 0.0000 0.5000 1
Pr2 Pr 0.2884 0.5750 0.6444 1
Er1 Er 0.4297 0.8604 0.2167 1

Record 4
# Tb2Ni9Pt, relaxed, DFT PBE
# - D(E_F) (states/eV per cell) = 40.97
# - calculated formation energy (eV per formula unit) = -2.37
# - M_tot (μB per formula unit) = 3.17
data_Tb2Ni9Pt
_chemical_formula_sum 'Tb6 Ni27 Pt3'
_cell_length_a 4.9060
_cell_length_b 4.9060
_cell_length_c 23.9282
_cell_angle_alpha 90.00
_cell_angle_beta 90.00
_cell_angle_gamma 120.00
_symmetry_space_group_name_H-M 'R -3 m'
_symmetry_Int_Tables_number 166
_symmetry_space_group_name_Hall '-R 3 2"'
loop_
_atom_site_label
_atom_site_type_symbol
_atom_site_fract_x
_atom_site_fract_y
_atom_site_fract_z
_atom_site_occupancy
Tb1 Tb 0.0000 0.0000 0.1324 1
Ni1 Ni 0.0000 0.0000 0.3330 1
Ni2 Ni 0.0000 0.0000 0.5000 1
Ni3 Ni 0.0007 0.5003 0.9189 1
Pt1 Pt 0.0000 0.0000 0.0000 1

Record 5
# TiTl2Pt4, relaxed, DFT PBE
# - D(E_F) (states/eV per cell) = 7.62
# - calculated formation energy (eV per formula unit) = 2.49
# - M_tot (μB per formula unit) = 0.00
data_TiTl2Pt4
_chemical_formula_sum 'Ti2 Tl4 Pt8'
_cell_length_a 4.8470
_cell_length_b 4.8470
_cell_length_c 13.8967
_cell_angle_alpha 90.00
_cell_angle_beta 90.00
_cell_angle_gamma 90.00
_symmetry_space_group_name_H-M 'I 4/m m m'
_symmetry_Int_Tables_number 139
_symmetry_space_group_name_Hall '-I 4 2'
loop_
_atom_site_label
_atom_site_type_symbol
_atom_site_fract_x
_atom_site_fract_y
_atom_site_fract_z
_atom_site_occupancy
Ti1 Ti 0.0000 0.0000 0.0000 1
Tl1 Tl 0.0000 0.0000 0.3656 1
Pt1 Pt 0.0000 0.0000 0.1680 1
Pt2 Pt 0.0000 0.5000 0.0000 1

Record 6
# Nd2SmTe2, relaxed, DFT PBE
# - D(E_F) (states/eV per cell) = 9.21
# - formation energy without anion corrections (eV/atom) = -0.99
# - M_tot (μB per formula unit) = 0.00
data_Nd2SmTe2
_chemical_formula_sum 'Nd4 Sm2 Te4'
_cell_length_a 4.1753
_cell_length_b 6.2984
_cell_length_c 13.0061
_cell_angle_alpha 90.00
_cell_angle_beta 90.00
_cell_angle_gamma 90.00
_symmetry_space_group_name_H-M 'I m m m'
_symmetry_Int_Tables_number 71
_symmetry_space_group_name_Hall '-I 2 2'
loop_
_atom_site_label
_atom_site_type_symbol
_atom_site_fract_x
_atom_site_fract_y
_atom_site_fract_z
_atom_site_occupancy
Nd1 Nd 0.0000 0.0000 0.1422 1
Sm1 Sm 0.0000 0.0000 0.5000 1
Te1 Te 0.0000 0.5000 0.1773 1

Record 7
# DyCrI6, relaxed, DFT PBE
# - formation energy without anion corrections (eV/atom) = -0.77
# - M_tot (μB per formula unit) = 2.98
data_DyCrI6
_chemical_formula_sum 'Dy3 Cr3 I18'
_cell_length_a 7.3094
_cell_length_b 7.3094
_cell_length_c 19.6673
_cell_angle_alpha 90.00
_cell_angle_beta 90.00
_cell_angle_gamma 120.00
_symmetry_space_group_name_H-M 'R -3'
_symmetry_Int_Tables_number 148
_symmetry_space_group_name_Hall '-R 3'
loop_
_atom_site_label
_atom_site_type_symbol
_atom_site_fract_x
_atom_site_fract_y
_atom_site_fract_z
_atom_site_occupancy
Dy1 Dy 0.0000 0.0000 0.0000 1
Cr1 Cr 0.0000 0.0000 0.5000 1
I1 I 0.0006 0.6885 0.4201 1

Record 8
# Mg2SnPt, relaxed, DFT PBE
# - D(E_F) (states/eV per cell) = 5.66
# - calculated formation energy (eV per formula unit) = -1.79
# - M_tot (μB per formula unit) = 0.00
data_Mg2SnPt
_chemical_formula_sum 'Mg8 Sn4 Pt4'
_cell_length_a 9.7276
_cell_length_b 5.6070
_cell_length_c 6.3577
_cell_angle_alpha 90.00
_cell_angle_beta 111.70
_cell_angle_gamma 90.00
_symmetry_space_group_name_H-M 'C 1 2/c 1'
_symmetry_Int_Tables_number 15
loop_
_symmetry_equiv_pos_as_xyz
'x,y,z'
'-x,-y,-z'
'-x,y,-z+1/2'
'x,-y,z+1/2'
'x+1/2,y+1/2,z'
'-x+1/2,-y+1/2,-z'
'-x+1/2,y+1/2,-z+1/2'
'x+1/2,-y+1/2,z+1/2'
loop_
_atom_site_label
_atom_site_type_symbol
_atom_site_fract_x
_atom_site_fract_y
_atom_site_fract_z
_atom_site_occupancy
Mg1 Mg 0.2163 0.0273 0.1201 1
Sn1 Sn 0.0000 0.2895 0.2500 1
Pt1 Pt 0.0000 0.2213 0.7500 1

Record 9
# Zr4InHg2, relaxed, DFT PBE
# - D(E_F) (states/eV per cell) = 17.97
# - calculated formation energy (eV per formula unit) = 0.17
# - M_tot (μB per formula unit) = 0.00
data_Zr4InHg2
_chemical_formula_sum 'Zr8 In2 Hg4'
_cell_length_a 4.5567
_cell_length_b 4.5567
_cell_length_c 15.9521
_cell_angle_alpha 90.00
_cell_angle_beta 90.00
_cell_angle_gamma 90.00
_symmetry_space_group_name_H-M 'I 4/m m m'
_symmetry_Int_Tables_number 139
_symmetry_space_group_name_Hall '-I 4 2'
loop_
_atom_site_label
_atom_site_type_symbol
_atom_site_fract_x
_atom_site_fract_y
_atom_site_fract_z
_atom_site_occupancy
Zr1 Zr 0.0000 0.5000 0.1194 1
In1 In 0.0000 0.0000 0.0000 1
Hg1 Hg 0.0000 0.0000 0.2534 1

Record 10
# Sr2InPd6Pb, relaxed, DFT PBE
# - D(E_F) (states/eV per cell) = 20.27
# - calculated formation energy (eV per formula unit) = -0.84
# - M_tot (μB per formula unit) = 0.00
data_Sr2InPd6Pb
_chemical_formula_sum 'Sr8 In4 Pd24 Pb4'
_cell_length_a 10.1863
_cell_length_b 10.1863
_cell_length_c 10.1863
_cell_angle_alpha 90.00
_cell_angle_beta 90.00
_cell_angle_gamma 90.00
_symmetry_space_group_name_H-M 'F m -3 m'
_symmetry_Int_Tables_number 225
_symmetry_space_group_name_Hall '-F 4 2 3'
loop_
_atom_site_label
_atom_site_type_symbol
_atom_site_fract_x
_atom_site_fract_y
_atom_site_fract_z
_atom_site_occupancy
Sr1 Sr 0.2500 0.2500 0.2500 1
In1 In 0.0000 0.0000 0.0000 1
Pd1 Pd 0.0000 0.0000 0.2472 1
Pb1 Pb 0.0000 0.0000 0.5000 1

Record 11
# LaMg2Pb2, relaxed, DFT PBE
# - D(E_F) (states/eV per cell) = 4.52
# - calculated formation energy (eV per formula unit) = -1.57
# - M_tot (μB per formula unit) = 0.00
data_LaMg2Pb2
_chemical_formula_sum 'La2 Mg4 Pb4'
_cell_length_a 4.5910
_cell_length_b 4.5910
_cell_length_c 13.5470
_cell_angle_alpha 90.00
_cell_angle_beta 90.00
_cell_angle_gamma 90.00
_symmetry_space_group_name_H-M 'I 4/m m m'
_symmetry_Int_Tables_number 139
_symmetry_space_group_name_Hall '-I 4 2'
loop_
_atom_site_label
_atom_site_type_symbol
_atom_site_fract_x
_atom_site_fract_y
_atom_site_fract_z
_atom_site_occupancy
La1 La 0.0000 0.0000 0.0000 1
Mg1 Mg 0.0000 0.5000 0.2500 1
Pb1 Pb 0.0000 0.0000 0.3882 1

Record 12
# Ho3BiTe, relaxed, DFT PBE
# - D(E_F) (states/eV per cell) = 6.86
# - formation energy without anion corrections (eV/atom) = -0.77
# - M_tot (μB per formula unit) = 0.00
data_Ho3BiTe
_chemical_formula_sum 'Ho6 Bi2 Te2'
_cell_length_a 8.5733
_cell_length_b 4.2027
_cell_length_c 8.8123
_cell_angle_alpha 90.00
_cell_angle_beta 91.49
_cell_angle_gamma 90.00
_symmetry_space_group_name_H-M 'P 1 21/m 1'
_symmetry_Int_Tables_number 11
loop_
_symmetry_equiv_pos_as_xyz
'x,y,z'
'-x,-y,-z'
'-x,y+1/2,-z'
'x,-y+1/2,z'
loop_
_atom_site_label
_atom_site_type_symbol
_atom_site_fract_x
_atom_site_fract_y
_atom_site_fract_z
_atom_site_occupancy
Ho1 Ho 0.1199 0.2500 0.3734 1
Ho2 Ho 0.3461 0.2500 0.9945 1
Ho3 Ho 0.3749 0.7500 0.6338 1
Bi1 Bi 0.3669 0.7500 0.2654 1
Te1 Te 0.1252 0.2500 0.7190 1

Record 13
# Ce2PuAu5, relaxed, DFT PBE
# - D(E_F) (states/eV per cell) = 51.78
# - calculated formation energy (eV per formula unit) = -3.96
# - M_tot (μB per formula unit) = 4.45
data_Ce2PuAu5
_chemical_formula_sum 'Ce4 Pu2 Au10'
_cell_length_a 5.1419
_cell_length_b 5.1419
_cell_length_c 14.1850
_cell_angle_alpha 90.00
_cell_angle_beta 90.00
_cell_angle_gamma 90.00
_symmetry_space_group_name_H-M 'I 4/m m m'
_symmetry_Int_Tables_number 139
_symmetry_space_group_name_Hall '-I 4 2'
loop_
_atom_site_label
_atom_site_type_symbol
_atom_site_fract_x
_atom_site_fract_y
_atom_site_fract_z
_atom_site_occupancy
Ce1 Ce 0.0000 0.0000 0.2304 1
Pu1 Pu 0.0000 0.0000 0.5000 1
Au1 Au 0.0000 0.0000 0.0000 1
Au2 Au 0.0000 0.5000 0.1202 1